Here is an optimized crystal structure of NiClO2 from Alexandria via LeMat-Bulk. Energies are from PBE+U.

Structure (POSCAR):
```
NiClO2
1.0
-2.707 2.707 3.997
2.707 -2.707 3.997
2.707 2.707 -3.997
Ni Cl O
2 2 4
direct
0.000 0.000 0.000
0.750 0.250 0.500
0.250 0.750 0.500
0.500 0.500 0.000
0.017 0.625 0.892
0.375 0.267 0.392
0.733 0.125 0.108
0.875 0.983 0.608
```

Results
For the total magnetization, the calculation gives 1.000 μB per formula unit. The space group is I-42d, No. 122. The value obtained for the density of states at the Fermi level is 0.48 states/eV/f.u. For the total energy, the calculation gives -26.3 eV per cell. Its crystal system is tetragonal.